Record 1
Computed, not measured: a geometry-optimized Ac3AsPb structure at the PBE-GGA level of DFT.

Calculated values
Formation enthalpy at 0 K = -0.529 eV per atom
Uncorrected energy = -23.33 eV for the cell shown
Space-group type = Pm-3m (221)
M_tot = 0.000 μB/cell

a b c (Å): 5.943 5.943 5.943
angles (deg): 90.00 90.00 90.00
Fractional coordinates of all 5 atoms:
Ac: 0.000 0.000 0.500
Ac: 0.000 0.500 0.000
Ac: 0.500 0.000 0.000
As: 0.000 0.000 0.000
Pb: 0.500 0.500 0.500

Record 2
Computed, not measured: a geometry-optimized Pa4AsSe6 structure at the PBE-GGA level of DFT.

Calculated values
Uncorrected energy = -152.51 eV for the cell shown
Space-group type = P4_2/nmc (137)
ΔE_f (raw) = -1.156 eV/atom
M_tot = 10.082 μB/cell

a b c (Å): 9.540 9.540 6.885
angles (deg): 90.00 90.00 90.00
Fractional coordinates of all 22 atoms:
Pa: 0.012 0.250 0.058
Pa: 0.250 0.012 0.558
Pa: 0.250 0.488 0.558
Pa: 0.488 0.250 0.058
Pa: 0.512 0.750 0.942
Pa: 0.750 0.512 0.442
Pa: 0.750 0.988 0.442
Pa: 0.988 0.750 0.942
As: 0.250 0.750 0.750
As: 0.750 0.250 0.250
Se: 0.038 0.538 0.250
Se: 0.038 0.962 0.250
Se: 0.250 0.250 0.313
Se: 0.250 0.250 0.813
Se: 0.462 0.538 0.250
Se: 0.462 0.962 0.250
Se: 0.538 0.038 0.750
Se: 0.538 0.462 0.750
Se: 0.750 0.750 0.187
Se: 0.750 0.750 0.687
Se: 0.962 0.038 0.750
Se: 0.962 0.462 0.750

Record 3
Computed, not measured: a geometry-optimized LiGe2Mo2 structure at the PBE-GGA level of DFT.

Calculated values
Formation enthalpy at 0 K = 0.104 eV per atom
Uncorrected energy = -64.59 eV for the cell shown
Space-group type = P4/mbm (127)
M_tot = 0.000 μB/cell

a b c (Å): 7.064 7.064 3.234
angles (deg): 90.00 90.00 90.00
Fractional coordinates of all 10 atoms:
Li: 0.000 0.000 0.000
Li: 0.500 0.500 0.000
Ge: 0.153 0.347 0.500
Ge: 0.347 0.847 0.500
Ge: 0.653 0.153 0.500
Ge: 0.847 0.653 0.500
Mo: 0.141 0.641 0.000
Mo: 0.359 0.141 0.000
Mo: 0.641 0.859 0.000
Mo: 0.859 0.359 0.000